TaBe2Os2: optimized geometry, PBEsol.

a = 2.923 Å, b = 6.405 Å, c = 6.405 Å
α = 90.00°, β = 90.00°, γ = 90.00°
Element x y z (fractional)
Ta 0.000 0.500 0.500
Ta 0.000 0.000 0.000
Be 0.000 0.380 0.880
Be 0.000 0.880 0.620
Be 0.000 0.620 0.120
Be 0.000 0.120 0.380
Os 0.500 0.830 0.330
Os 0.500 0.330 0.170
Os 0.500 0.170 0.670
Os 0.500 0.670 0.830

Results
The total magnetic moment is 0.000 μB per formula unit. Its symmetry is P4/mbm. The calculation puts the uncorrected energy at -92.98 eV for the cell shown.